The following is a DFT calculation (PBE-GGA) of a relaxed ErTmNi2P2 crystal.

Lattice parameters (Å, degrees): 3.8612 3.8612 7.6693 90.00 90.00 120.00
With the nearest neighbours (Å) after each atom.
Atoms (fractional coordinates):
1 Er 0.0000 0.0000 0.0000  6 P 2.95, 6 Ni 2.95
2 Tm 0.0000 0.0000 0.5000  6 Ni 2.93, 6 P 2.94
3 Ni 0.3333 0.6667 0.7486  3 P 2.23
4 Ni 0.6667 0.3333 0.2514  3 P 2.23
5 P 0.3333 0.6667 0.2510  3 Ni 2.23
6 P 0.6667 0.3333 0.7490  3 Ni 2.23

- Volume: 16.5 A^3/atom
- Mass density: 8.64 g/cm³
- Crystal system: trigonal

The following is a DFT calculation (PBE-GGA) of a relaxed Er2ZnNi4P3 crystal.

Lattice parameters (Å, degrees): 3.8570 3.8570 9.6403 90.00 90.00 90.00
With the nearest neighbours (Å) after each atom.
Atoms (fractional coordinates):
1 Er 0.5000 0.0000 0.2428  6 P 2.93-3.14, 8 Ni 2.95-3.03, 2 Zn 3.14
2 Er 0.0000 0.5000 0.7572  6 P 2.93-3.14, 8 Ni 2.95-3.03, 2 Zn 3.14
3 Zn 0.5000 0.5000 0.5000  4 Ni 2.35
4 Ni 0.5000 0.5000 0.0000  4 P 2.31
5 Ni 0.0000 0.0000 0.0000  4 P 2.31
6 Ni 0.5000 0.0000 0.6398  3 P 2.20-2.35, 2 Zn 2.35
7 Ni 0.0000 0.5000 0.3602  3 P 2.20-2.35, 2 Zn 2.35
8 P 0.0000 0.0000 0.5000  4 Ni 2.35
9 P 0.5000 0.0000 0.8677  5 Ni 2.20-2.31
10 P 0.0000 0.5000 0.1323  5 Ni 2.20-2.31

- Volume: 14.3 A^3/atom
- Mass density: 8.43 g/cm³
- Crystal system: tetragonal

The following is a DFT calculation (PBE-GGA) of a relaxed ErPaNi2 crystal.

Lattice parameters (Å, degrees): 3.3899 3.3899 6.7189 90.00 90.00 90.00
With the nearest neighbours (Å) after each atom.
Atoms (fractional coordinates):
1 Ni 0.0000 0.0000 0.7132  4 Pa 2.79, 1 Ni 2.87, 4 Er 3.08
2 Ni 0.0000 0.0000 0.2868  4 Pa 2.79, 1 Ni 2.87, 4 Er 3.08
3 Pa 0.5000 0.5000 0.5000  8 Ni 2.79
4 Er 0.5000 0.5000 0.0000  8 Ni 3.08, 2 Pa 3.36, 4 Er 3.39

- Volume: 19.3 A^3/atom
- Energy relative to the lowest polymorph listed for this composition: 10.0 kJ per mole of atoms
- Mass density: 11.09 g/cm³
- Crystal system: tetragonal

The following is a DFT calculation (PBE-GGA) of a relaxed ErPaNi crystal.

Lattice parameters (Å, degrees): 3.4284 4.6315 4.6315 120.00 90.00 90.00
With the nearest neighbours (Å) after each atom.
Atoms (fractional coordinates):
1 Ni 0.2875 0.3333 0.6667  3 Pa 2.79, 3 Er 2.95
2 Pa 0.0594 0.0000 0.0000  3 Ni 2.79, 3 Er 3.02
3 Er 0.6531 0.6667 0.3333  3 Ni 2.95, 3 Pa 3.02

- Volume: 21.2 A^3/atom
- Energy relative to the lowest polymorph listed for this composition: 27.5 kJ per mole of atoms
- Mass density: 11.91 g/cm³
- Crystal system: trigonal

Values for formation enthalpy at 0 K, eV/atom, ordered as above
-1.219; -0.905; -0.308; 0.155
Values for total moment, μB per formula unit, ordered as above
0.0; 0.0; 0.0; 0.0